8
Lattice="-0.6492 -3.4947 -1.5225 2.3269 0.8600 -2.9662 5.8873 -2.7574 3.8189" Properties=species:S:1:pos:R:3 comment="LaNdB2Ir2O2 | the Open Quantum Materials Database | PBE | relaxed" e_tot_ev_per_atom=-7.981 magmom_total_mub_per_fu=0.01 pbc="T T T"
Ir 4.1165 -0.9531 0.4325
Ir 2.6285 -3.1305 1.1543
O 0.9045 -0.4236 0.5867
O 5.8156 -3.6483 0.9839
B 2.0967 -0.9820 1.3600
B 4.6320 -3.0939 0.2161
La 1.8920 -1.8106 -1.5612
Nd 4.8190 -2.2571 3.1259


8
Lattice="-2.8640 2.6721 1.0166 -1.8896 -2.8491 2.1652 4.4753 2.2062 6.8088" Properties=species:S:1:pos:R:3 comment="LaNdB2P2Ir2 | the Open Quantum Materials Database | PBE | relaxed" e_tot_ev_per_atom=-7.384 magmom_total_mub_per_fu=0.00 pbc="T T T"
P -1.6996 0.2453 2.6211
P 3.7769 1.8619 5.7463
Ir 1.2967 -0.3195 4.4929
Ir 0.8096 2.4411 3.9186
B 2.7173 1.3396 4.1341
B -0.6279 0.7737 4.2517
Nd 1.2373 1.6932 7.0894
La 0.8838 0.4357 1.3446


11
Lattice="0.0000 4.9469 6.2623 2.7122 0.0000 6.2623 2.7122 4.9469 0.0000" Properties=species:S:1:pos:R:3 comment="La2B4IrPt4 | the Open Quantum Materials Database | PBE | relaxed" e_tot_ev_per_atom=-6.883 magmom_total_mub_per_fu=0.00 pbc="T T T"
La 2.7122 4.9469 8.0184
La 2.7122 4.9469 4.5061
B 2.7122 1.5625 4.6625
B 2.7122 8.3314 4.6625
B 2.7122 8.3314 7.8620
B 2.7122 1.5625 7.8620
Pt 1.3561 2.4735 0.0000
Pt 1.3561 2.4735 3.1311
Pt 4.0683 7.4204 9.3934
Pt 1.3561 2.4735 6.2623
Ir 0.0000 0.0000 0.0000


4
Lattice="0.1158 -3.5554 2.0388 -3.0405 -0.9919 2.5657 -2.6075 -3.0096 -0.9773" Properties=species:S:1:pos:R:3 comment="LiBIr2 | the Open Quantum Materials Database | PBE | relaxed" e_tot_ev_per_atom=-6.127 magmom_total_mub_per_fu=0.02 pbc="T T T"
Ir 0.0000 0.0000 0.0000
Ir -4.1491 -5.6677 2.7204
Li -1.3830 -1.8892 0.9068
B -2.7661 -3.7785 1.8136


4
Lattice="-3.3827 -0.6298 1.3842 -2.9928 1.3321 -1.7389 -2.3155 -2.3143 -1.7429" Properties=species:S:1:pos:R:3 comment="LiB2Ir | the Open Quantum Materials Database | PBE | relaxed" e_tot_ev_per_atom=-5.335 magmom_total_mub_per_fu=0.00 pbc="T T T"
Li -6.5182 -1.2090 -1.5732
Ir -4.3455 -0.8060 -1.0488
B -2.1727 -0.4030 -0.5244
B 0.0000 0.0000 0.0000


5
Lattice="2.4617 3.6817 -2.0260 -1.6099 4.3937 1.3502 1.2766 -4.0454 2.3927" Properties=species:S:1:pos:R:3 comment="LiB2Ir2 | the Open Quantum Materials Database | PBE | relaxed" e_tot_ev_per_atom=-6.909 magmom_total_mub_per_fu=0.00 pbc="T T T"
B 0.5205 4.9343 -0.4129
B 0.3313 3.1412 -0.2629
Ir 2.0821 1.8371 0.0144
Ir 0.0463 2.1931 1.7025
Li 0.0000 0.0000 0.0000


4
Lattice="-2.3301 -3.2732 0.5392 -3.2349 -0.5978 -2.3689 0.0233 -2.9797 -2.7485" Properties=species:S:1:pos:R:3 comment="LiNbBIr | the Open Quantum Materials Database | PBE | relaxed" e_tot_ev_per_atom=-6.857 magmom_total_mub_per_fu=0.33 pbc="T T T"
Ir 0.0000 0.0000 0.0000
B -1.3854 -1.7127 -1.1445
Nb -2.7708 -3.4253 -2.2891
Li -4.1562 -5.1380 -3.4336


4
Lattice="-3.7440 -0.8950 -1.5579 -3.3900 1.8129 1.5706 -2.0559 2.8400 -2.2255" Properties=species:S:1:pos:R:3 comment="LiNbBIr | the Open Quantum Materials Database | PBE | relaxed" e_tot_ev_per_atom=-6.953 magmom_total_mub_per_fu=0.00 pbc="T T T"
B 0.0000 0.0000 0.0000
Nb -4.5949 1.8790 -1.1064
Li -6.8924 2.8184 -1.6597
Ir -2.2975 0.9395 -0.5532


4
Lattice="0.0000 2.9667 2.9667 2.9667 0.0000 2.9667 2.9667 2.9667 0.0000" Properties=species:S:1:pos:R:3 comment="LiNbBIr | the Open Quantum Materials Database | PBE | relaxed" e_tot_ev_per_atom=-6.812 magmom_total_mub_per_fu=0.00 pbc="T T T"
B 2.9667 2.9667 2.9667
Li 4.4501 4.4501 4.4501
Ir 0.0000 0.0000 0.0000
Nb 1.4834 1.4834 1.4834


4
Lattice="-2.8536 -2.2083 -1.5111 -2.9878 1.6836 -1.8818 -0.3324 -0.3810 -3.8791" Properties=species:S:1:pos:R:3 comment="LiNiBIr | the Open Quantum Materials Database | PBE | relaxed" e_tot_ev_per_atom=-5.680 magmom_total_mub_per_fu=0.00 pbc="T T T"
Li -1.5435 -0.2264 -1.8180
B 0.0000 0.0000 0.0000
Ni -3.0869 -0.4529 -3.6360
Ir -4.6304 -0.6793 -5.4540


4
Lattice="0.0000 2.7799 2.7799 2.7799 0.0000 2.7799 2.7799 2.7799 0.0000" Properties=species:S:1:pos:R:3 comment="LiNiBIr | the Open Quantum Materials Database | PBE | relaxed" e_tot_ev_per_atom=-5.290 magmom_total_mub_per_fu=0.00 pbc="T T T"
B 0.0000 0.0000 0.0000
Ni 4.1698 4.1698 4.1698
Li 1.3899 1.3899 1.3899
Ir 2.7799 2.7799 2.7799


4
Lattice="0.0000 3.0403 3.0403 3.0403 0.0000 3.0403 3.0403 3.0403 0.0000" Properties=species:S:1:pos:R:3 comment="LiBSbIr | the Open Quantum Materials Database | PBE | relaxed" e_tot_ev_per_atom=-5.057 magmom_total_mub_per_fu=0.00 pbc="T T T"
Ir 1.5202 1.5202 1.5202
B 0.0000 0.0000 0.0000
Sb 3.0403 3.0403 3.0403
Li 4.5605 4.5605 4.5605


4
Lattice="0.0000 3.0130 3.0130 3.0130 0.0000 3.0130 3.0130 3.0130 0.0000" Properties=species:S:1:pos:R:3 comment="LiBSbIr | the Open Quantum Materials Database | PBE | relaxed" e_tot_ev_per_atom=-4.791 magmom_total_mub_per_fu=0.01 pbc="T T T"
B 1.5065 1.5065 1.5065
Li 4.5196 4.5196 4.5196
Ir 0.0000 0.0000 0.0000
Sb 3.0130 3.0130 3.0130


5
Lattice="4.1861 0.0000 0.0000 0.0000 4.1861 0.0000 0.0000 0.0000 4.2837" Properties=species:S:1:pos:R:3 comment="LiYBIr2 | the Open Quantum Materials Database | PBE | relaxed" e_tot_ev_per_atom=-7.186 magmom_total_mub_per_fu=0.00 pbc="T T T"
Y 2.0931 2.0931 2.1419
B 0.0000 0.0000 0.0000
Ir 2.0931 0.0000 0.0000
Ir 0.0000 2.0931 0.0000
Li 0.0000 0.0000 2.1419


3
Lattice="-0.6126 -3.7655 -1.3541 0.4890 -3.1521 2.4927 -3.2213 -2.1044 1.2581" Properties=species:S:1:pos:R:3 comment="LuBIr | the Open Quantum Materials Database | PBE | relaxed" e_tot_ev_per_atom=-6.898 magmom_total_mub_per_fu=0.04 pbc="T T T"
B 0.0000 0.0000 0.0000
Ir -0.8362 -2.2555 0.5992
Lu -2.5087 -6.7665 1.7975


3
Lattice="0.0000 3.0476 3.0476 3.0476 0.0000 3.0476 3.0476 3.0476 0.0000" Properties=species:S:1:pos:R:3 comment="LuBIr | the Open Quantum Materials Database | PBE | relaxed" e_tot_ev_per_atom=-5.832 magmom_total_mub_per_fu=0.00 pbc="T T T"
Ir 4.5714 4.5714 4.5714
B 1.5238 1.5238 1.5238
Lu 0.0000 0.0000 0.0000


4
Lattice="0.0000 3.0033 3.0033 3.0033 0.0000 3.0033 3.0033 3.0033 0.0000" Properties=species:S:1:pos:R:3 comment="LuNiBIr | the Open Quantum Materials Database | PBE | relaxed" e_tot_ev_per_atom=-6.418 magmom_total_mub_per_fu=0.03 pbc="T T T"
Ni 3.0033 3.0033 3.0033
B 0.0000 0.0000 0.0000
Lu 1.5017 1.5017 1.5017
Ir 4.5050 4.5050 4.5050


4
Lattice="0.0000 3.0819 3.0819 3.0819 0.0000 3.0819 3.0819 3.0819 0.0000" Properties=species:S:1:pos:R:3 comment="LuNiBIr | the Open Quantum Materials Database | PBE | relaxed" e_tot_ev_per_atom=-6.042 magmom_total_mub_per_fu=0.07 pbc="T T T"
Ni 4.6228 4.6228 4.6228
B 0.0000 0.0000 0.0000
Lu 1.5409 1.5409 1.5409
Ir 3.0819 3.0819 3.0819


45
Lattice="-5.3121 5.3121 5.3121 5.3121 -5.3121 5.3121 5.3121 5.3121 -5.3121" Properties=species:S:1:pos:R:3 comment="Mg10B16Ir19 | the Open Quantum Materials Database | PBE | relaxed" e_tot_ev_per_atom=-6.923 magmom_total_mub_per_fu=0.02 pbc="T T T"
Mg 3.5371 -3.5371 3.5371
Mg 3.5371 3.5371 -3.5371
Mg 1.7751 1.7751 1.7751
Mg 0.0000 3.6880 0.0000
Mg -3.5371 3.5371 3.5371
Mg 3.6880 0.0000 0.0000
Mg 0.0000 0.0000 6.9363
Mg 6.9363 0.0000 0.0000
Mg 0.0000 0.0000 3.6880
Mg 0.0000 6.9363 0.0000
Ir 4.5753 2.6368 2.6368
Ir 0.0000 5.3121 2.6561
Ir -2.6368 2.6368 6.0490
Ir 2.6368 4.5753 2.6368
Ir 0.0000 0.0000 0.0000
Ir 2.6368 -2.6368 6.0490
Ir 2.6753 -0.7369 2.6753
Ir 6.0490 2.6368 -2.6368
Ir 0.0000 2.6561 5.3121
Ir 2.6561 0.0000 5.3121
Ir 2.6368 2.6368 4.5753
Ir 2.6561 5.3121 0.0000
Ir 6.0490 -2.6368 2.6368
Ir 5.3121 2.6561 0.0000
Ir 5.3121 0.0000 2.6561
Ir -0.7369 2.6753 2.6753
Ir -2.6368 6.0490 2.6368
Ir 2.6753 2.6753 -0.7369
Ir 2.6368 6.0490 -2.6368
B 6.2529 1.7386 1.7386
B -1.7386 1.7386 4.3714
B 1.1840 -1.1840 1.1840
B 4.3714 1.7386 -1.7386
B -1.1840 1.1840 1.1840
B 1.7386 6.2529 1.7386
B 1.1840 1.1840 -1.1840
B 0.9407 3.5735 3.5735
B -1.7386 4.3714 1.7386
B 3.5735 3.5735 0.9407
B 1.7386 1.7386 6.2529
B 1.7386 4.3714 -1.7386
B 4.3714 -1.7386 1.7386
B 1.7386 -1.7386 4.3714
B 3.5735 0.9407 3.5735
B 4.1281 4.1281 4.1281


4
Lattice="2.4479 -0.3185 3.4433 -1.3053 1.6321 3.6854 -1.1309 -2.5699 3.1728" Properties=species:S:1:pos:R:3 comment="MgBIr2 | the Open Quantum Materials Database | PBE | relaxed" e_tot_ev_per_atom=-5.925 magmom_total_mub_per_fu=0.05 pbc="T T T"
Mg 0.0029 -0.3141 2.5754
Ir 0.0088 -0.9422 7.7261
Ir 0.0000 0.0000 0.0000
B 0.0058 -0.6282 5.1508